Entry 1:
Pd2RhCl6 | PBE | relaxed

```
data_Pd2RhCl6
_chemical_formula_sum 'Pd4 Rh2 Cl12'
_symmetry_space_group_name_H-M 'C 1 2/m 1'
_symmetry_Int_Tables_number 12
_cell_length_a 14.512
_cell_length_b 3.456
_cell_length_c 10.355
_cell_angle_alpha 90.00
_cell_angle_beta 111.63
_cell_angle_gamma 90.00
loop_
_symmetry_equiv_pos_as_xyz
'x,y,z'
'-x,-y,-z'
'-x,y,-z'
'x,-y,z'
'x+1/2,y+1/2,z'
'-x+1/2,-y+1/2,-z'
'-x+1/2,y+1/2,-z'
'x+1/2,-y+1/2,z'
loop_
_atom_site_label
_atom_site_fract_x
_atom_site_fract_y
_atom_site_fract_z
Pd1 0.248 0.000 0.323
Rh1 0.000 0.000 0.000
Cl1 0.074 0.000 0.246
Cl2 0.107 0.500 0.986
Cl3 0.141 0.000 0.628
```

Energy relative to the elements, uncorrected, eV per atom: -0.329
Excess energy over the best structure of this formula in the dataset, kJ/mol of formula units: 19
V, Å³/atom: 26.8

Entry 2:
PdRh3Cl | PBE | relaxed

```
data_PdRh3Cl
_chemical_formula_sum 'Pd1 Rh3 Cl1'
_symmetry_space_group_name_H-M 'P m -3 m'
_symmetry_Int_Tables_number 221
_symmetry_space_group_name_Hall '-P 4 2 3'
_cell_length_a 4.378
_cell_length_b 4.378
_cell_length_c 4.378
_cell_angle_alpha 90.00
_cell_angle_beta 90.00
_cell_angle_gamma 90.00
loop_
_atom_site_label
_atom_site_fract_x
_atom_site_fract_y
_atom_site_fract_z
Pd1 0.000 0.000 0.000
Rh1 0.000 0.500 0.500
Cl1 0.500 0.500 0.500
```

Energy relative to the elements, uncorrected, eV per atom: 0.824
Excess energy over the best structure of this formula in the dataset, kJ/mol of formula units: 0
V, Å³/atom: 16.8

Entry 3:
PdRh3Cl | PBE | relaxed

```
data_PdRh3Cl
_chemical_formula_sum 'Pd1 Rh3 Cl1'
_symmetry_space_group_name_H-M 'P m -3 m'
_symmetry_Int_Tables_number 221
_symmetry_space_group_name_Hall '-P 4 2 3'
_cell_length_a 4.840
_cell_length_b 4.840
_cell_length_c 4.840
_cell_angle_alpha 90.00
_cell_angle_beta 90.00
_cell_angle_gamma 90.00
loop_
_atom_site_label
_atom_site_fract_x
_atom_site_fract_y
_atom_site_fract_z
Pd1 0.000 0.000 0.000
Rh1 0.000 0.000 0.500
Cl1 0.500 0.500 0.500
```

Energy relative to the elements, uncorrected, eV per atom: 1.591
Excess energy over the best structure of this formula in the dataset, kJ/mol of formula units: 370
V, Å³/atom: 22.7

Entry 4:
PdRhCl6 | PBE | relaxed

```
data_PdRhCl6
_chemical_formula_sum 'Pd2 Rh2 Cl12'
_symmetry_space_group_name_H-M 'C 1 2/m 1'
_symmetry_Int_Tables_number 12
_cell_length_a 6.512
_cell_length_b 11.010
_cell_length_c 6.528
_cell_angle_alpha 90.00
_cell_angle_beta 115.97
_cell_angle_gamma 90.00
loop_
_symmetry_equiv_pos_as_xyz
'x,y,z'
'-x,-y,-z'
'-x,y,-z'
'x,-y,z'
'x+1/2,y+1/2,z'
'-x+1/2,-y+1/2,-z'
'-x+1/2,y+1/2,-z'
'x+1/2,-y+1/2,z'
loop_
_atom_site_label
_atom_site_fract_x
_atom_site_fract_y
_atom_site_fract_z
Pd1 0.000 0.000 0.000
Rh1 0.000 0.500 0.500
Cl1 0.208 0.500 0.291
Cl2 0.245 0.145 0.246
```

Energy relative to the elements, uncorrected, eV per atom: -0.421
V, Å³/atom: 26.3

Entry 5:
PdRhCl2 | PBE | relaxed

```
data_PdRhCl2
_chemical_formula_sum 'Pd3 Rh3 Cl6'
_symmetry_space_group_name_H-M 'R -3 m'
_symmetry_Int_Tables_number 166
_symmetry_space_group_name_Hall '-R 3 2"'
_cell_length_a 3.2384
_cell_length_b 3.2384
_cell_length_c 24.3447
_cell_angle_alpha 90.00
_cell_angle_beta 90.00
_cell_angle_gamma 120.00
loop_
_atom_site_label
_atom_site_fract_x
_atom_site_fract_y
_atom_site_fract_z
Pd1 0.0000 0.0000 0.0000
Rh1 0.0000 0.0000 0.5000
Cl1 0.0000 0.0000 0.4073
```

Energy relative to the elements, uncorrected, eV per atom: 0.207
Excess energy over the best structure of this formula in the dataset, kJ/mol of formula units: 38
V, Å³/atom: 18.4

Entry 6:
PdRhCl2 | PBE | relaxed

```
data_PdRhCl2
_chemical_formula_sum 'Pd3 Rh3 Cl6'
_symmetry_space_group_name_H-M 'R -3 m'
_symmetry_Int_Tables_number 166
_symmetry_space_group_name_Hall '-R 3 2"'
_cell_length_a 3.5041
_cell_length_b 3.5041
_cell_length_c 22.5880
_cell_angle_alpha 90.00
_cell_angle_beta 90.00
_cell_angle_gamma 120.00
loop_
_atom_site_label
_atom_site_fract_x
_atom_site_fract_y
_atom_site_fract_z
Pd1 0.0000 0.0000 0.0000
Rh1 0.0000 0.0000 0.5000
Cl1 0.0000 0.0000 0.1029
```

Energy relative to the elements, uncorrected, eV per atom: 0.108
Excess energy over the best structure of this formula in the dataset, kJ/mol of formula units: 0
V, Å³/atom: 20.0

Entry 7:
Pd2RhCl6 | PBE | relaxed

```
data_Pd2RhCl6
_chemical_formula_sum 'Pd8 Rh4 Cl24'
_symmetry_space_group_name_H-M 'C 1 2/c 1'
_symmetry_Int_Tables_number 15
_cell_length_a 13.351
_cell_length_b 12.191
_cell_length_c 5.415
_cell_angle_alpha 90.00
_cell_angle_beta 94.68
_cell_angle_gamma 90.00
loop_
_symmetry_equiv_pos_as_xyz
'x,y,z'
'-x,-y,-z'
'-x,y,-z+1/2'
'x,-y,z+1/2'
'x+1/2,y+1/2,z'
'-x+1/2,-y+1/2,-z'
'-x+1/2,y+1/2,-z+1/2'
'x+1/2,-y+1/2,z+1/2'
loop_
_atom_site_label
_atom_site_fract_x
_atom_site_fract_y
_atom_site_fract_z
Pd1 0.095 0.099 0.161
Rh1 0.000 0.420 0.250
Cl1 0.103 0.436 0.618
Cl2 0.114 0.286 0.129
Cl3 0.122 0.090 0.682
```

Energy relative to the elements, uncorrected, eV per atom: -0.351
Excess energy over the best structure of this formula in the dataset, kJ/mol of formula units: 0
V, Å³/atom: 24.4

Entry 8:
PdRhSCl2 | PBE | relaxed

```
data_PdRhSCl2
_chemical_formula_sum 'Pd1 Rh1 S1 Cl2'
_symmetry_space_group_name_H-M 'P 4/m m m'
_symmetry_Int_Tables_number 123
_symmetry_space_group_name_Hall '-P 4 2'
_cell_length_a 4.787
_cell_length_b 4.787
_cell_length_c 4.739
_cell_angle_alpha 90.00
_cell_angle_beta 90.00
_cell_angle_gamma 90.00
loop_
_atom_site_label
_atom_site_fract_x
_atom_site_fract_y
_atom_site_fract_z
Pd1 0.000 0.000 0.000
Rh1 0.500 0.500 0.500
S1 0.000 0.000 0.500
Cl1 0.000 0.500 0.000
```

Energy relative to the elements, uncorrected, eV per atom: 0.607
Excess energy over the best structure of this formula in the dataset, kJ/mol of formula units: 141
V, Å³/atom: 21.7